Record 1
First-principles (PBE) data for a relaxed Sm2HfO crystal, as listed in the Alexandria database.

Summary:
Formation energy (no corrections) in eV/atom: -0.929
Calculated density in Mg/m³: 8.94
M_tot in μB/f.u.: 0.0

a b c (Å): 3.4036 3.4036 9.3799
angles (deg): 79.55 79.55 60.00
Atoms (fractional coordinates):
Hf1 0.0000 0.0000 0.0000
O1 0.5000 0.5000 0.5000
Sm1 0.8857 0.8857 0.3428
Sm2 0.1143 0.1143 0.6572

=====

Record 2
First-principles (PBE) data for a relaxed Sm2Hf2O7 crystal, as listed in the Alexandria database.

Summary:
Formation energy (no corrections) in eV/atom: -3.554
Calculated density in Mg/m³: 8.50
M_tot in μB/f.u.: 0.0

a b c (Å): 7.5208 7.5208 7.5208
angles (deg): 60.00 60.00 60.00
Atoms (fractional coordinates):
O1 0.5406 0.9594 0.9594
O2 0.2500 0.2500 0.2500
O3 0.7094 0.7094 0.2905
O4 0.2905 0.7094 0.2905
O5 0.2905 0.7094 0.7094
O6 0.7094 0.2905 0.7094
O7 0.9594 0.5406 0.5406
O8 0.5406 0.5406 0.9594
O9 0.9594 0.5406 0.9594
O10 0.5406 0.9594 0.5406
O11 0.7094 0.2905 0.2905
O12 0.2905 0.2905 0.7094
O13 0.9594 0.9594 0.5406
O14 0.0000 0.0000 0.0000
Sm1 0.6250 0.1250 0.1250
Sm2 0.1250 0.1250 0.1250
Sm3 0.1250 0.1250 0.6250
Sm4 0.1250 0.6250 0.1250
Hf1 0.6250 0.6250 0.6250
Hf2 0.6250 0.6250 0.1250
Hf3 0.6250 0.1250 0.6250
Hf4 0.1250 0.6250 0.6250

=====

Record 3
First-principles (PBE) data for a relaxed Sm2HfO5 crystal, as listed in the Alexandria database.

Summary:
Formation energy (no corrections) in eV/atom: -3.504
Calculated density in Mg/m³: 7.89
M_tot in μB/f.u.: 0.0

a b c (Å): 3.8271 7.6392 16.1012
angles (deg): 90.00 90.00 90.00
Atoms (fractional coordinates):
Sm1 0.7500 0.9080 0.0887
Sm2 0.7500 0.4080 0.4113
Sm3 0.2500 0.5920 0.5887
Sm4 0.2500 0.6362 0.2382
Sm5 0.2500 0.1362 0.2618
Sm6 0.7500 0.3638 0.7618
Sm7 0.7500 0.8638 0.7382
Sm8 0.2500 0.0920 0.9113
O1 0.7500 0.5922 0.1531
O2 0.2500 0.9013 0.1774
O3 0.7500 0.5987 0.6774
O4 0.2500 0.9161 0.4634
O5 0.7500 0.6476 0.5026
O6 0.7500 0.0839 0.5366
O7 0.7500 0.5839 0.9634
O8 0.2500 0.4078 0.8469
O9 0.7500 0.1476 0.9974
O10 0.2500 0.4161 0.0366
O11 0.7500 0.0922 0.3469
O12 0.7500 0.2030 0.1675
O13 0.7500 0.7030 0.3325
O14 0.7500 0.0987 0.8226
O15 0.2500 0.9078 0.6531
O16 0.2500 0.7970 0.8325
O17 0.2500 0.8524 0.0026
O18 0.2500 0.4013 0.3226
O19 0.2500 0.2970 0.6675
O20 0.2500 0.3524 0.4974
Hf1 0.7500 0.8768 0.4294
Hf2 0.7500 0.3768 0.0706
Hf3 0.2500 0.1232 0.5706
Hf4 0.2500 0.6232 0.9294